No. 1
Material: MnCo2As
Method: DFT, PBE
State: relaxed

Unit cell a=2.983 b=2.983 c=5.607 alpha=90.00 beta=90.00 gamma=90.00
Space group P4/mmm (No. 123)
Inequivalent atoms, fractional coordinates:
Mn1 0.000 0.000 0.000
Co1 0.500 0.500 0.255
As1 0.000 0.000 0.500

Results
Its crystal system is tetragonal. For the formation enthalpy at 0 K, the calculation gives -0.03 eV per atom.

No. 2
Material: Sm6Ho3Er2Th
Method: DFT, PBE
State: relaxed

Unit cell a=6.201 b=10.734 c=11.868 alpha=90.00 beta=100.05 gamma=90.00
Space group C2/m (No. 12)
Inequivalent atoms, fractional coordinates:
Sm1 0.247 0.000 0.251
Sm2 0.248 0.165 0.750
Ho1 0.000 0.167 0.000
Ho2 0.000 0.500 0.000
Er1 0.000 0.333 0.500
Th1 0.000 0.000 0.500

Results
Its crystal system is monoclinic. For the formation enthalpy at 0 K, the calculation gives 0.03 eV per atom.

No. 3
Material: LaMg4Al2
Method: DFT, PBE
State: relaxed

Unit cell a=4.517 b=16.355 c=4.516 alpha=90.00 beta=90.00 gamma=90.00
Space group Cmmm (No. 65)
Inequivalent atoms, fractional coordinates:
La1 0.000 0.000 0.000
Mg1 0.000 0.180 0.500
Mg2 0.000 0.319 0.000
Al1 0.000 0.422 0.500

Results
Its crystal system is orthorhombic. For the formation enthalpy at 0 K, the calculation gives -0.19 eV per atom.

No. 4
Material: Ce2HoTlC
Method: DFT, PBE
State: relaxed

Unit cell a=4.964 b=4.964 c=4.967 alpha=90.00 beta=90.00 gamma=90.00
Space group P4/mmm (No. 123)
Inequivalent atoms, fractional coordinates:
Ce1 0.000 0.500 0.000
Ho1 0.000 0.000 0.500
Tl1 0.500 0.500 0.500
C1 0.000 0.000 0.000

Results
Its crystal system is tetragonal. For the formation enthalpy at 0 K, the calculation gives -0.31 eV per atom.

No. 5
Material: Sr3ZrNi
Method: DFT, PBE
State: relaxed

Unit cell a=5.729 b=5.729 c=5.729 alpha=90.00 beta=90.00 gamma=90.00
Space group Pm-3m (No. 221)
Inequivalent atoms, fractional coordinates:
Sr1 0.000 0.000 0.500
Zr1 0.500 0.500 0.500
Ni1 0.000 0.000 0.000

Results
The energy above the most stable polymorph in this dataset comes out at 0 meV/atom. Its crystal system is cubic. For the formation enthalpy at 0 K, the calculation gives 0.55 eV per atom.

No. 6
Material: CsBeZnF6
Method: DFT, PBE
State: relaxed

Unit cell a=5.0794 b=5.0794 c=6.5238 alpha=90.00 beta=90.00 gamma=120.00
Space group P312 (No. 149)
Inequivalent atoms, fractional coordinates:
Cs1 0.0000 0.0000 0.0000
Be1 0.6667 0.3333 0.5000
Zn1 0.3333 0.6667 0.5000
F1 0.4050 0.0319 0.6598

Results
The uncorrected formation energy comes out at -2.410 eV per atom. Its crystal system is trigonal.